{"formula": "RbZrBe2Au", "functional": "PBE", "state": "optimized geometry", "energy_ev_per_cell": -8.546, "total_magnetization_mub_per_cell": 0.00, "formation_energy_ev_per_atom": 2.34, "cell": [[4.694, 0.000, 0.000], [0.000, 4.694, 0.000], [0.000, 0.000, 5.052]], "species": ["Rb", "Zr", "Be", "Be", "Au"], "frac_coords": [[0.000, 0.000, 0.000], [0.000, 0.000, 0.500], [0.000, 0.500, 0.000], [0.500, 0.000, 0.000], [0.500, 0.500, 0.500]]}

{"formula": "NaBi4Pd6", "functional": "PBE", "state": "optimized geometry", "energy_ev_per_cell": -50.802, "total_magnetization_mub_per_cell": 0.00, "formation_energy_ev_per_atom": -0.25, "cell": [[7.837, 0.000, 0.000], [-3.919, 6.787, 0.000], [0.000, 0.000, 4.529]], "species": ["Na", "Bi", "Bi", "Bi", "Bi", "Pd", "Pd", "Pd", "Pd", "Pd", "Pd"], "frac_coords": [[0.000, 0.000, 0.000], [0.112, 0.734, 0.500], [0.266, 0.378, 0.500], [0.622, 0.888, 0.500], [0.667, 0.333, 0.000], [0.109, 0.476, 0.000], [0.367, 0.891, 0.000], [0.426, 0.135, 0.500], [0.524, 0.633, 0.000], [0.709, 0.574, 0.500], [0.865, 0.291, 0.500]]}

{"formula": "LiPbW", "functional": "PBE", "state": "optimized geometry", "energy_ev_per_cell": -16.520, "total_magnetization_mub_per_cell": 0.00, "formation_energy_ev_per_atom": 0.69, "cell": [[3.053, 0.000, 0.000], [-1.526, 2.644, 0.000], [0.000, 0.000, 7.326]], "species": ["Li", "Pb", "W"], "frac_coords": [[0.000, 0.000, 0.000], [0.667, 0.333, 0.353], [0.333, 0.667, 0.688]]}

{"formula": "BeOsAu2", "functional": "PBE", "state": "optimized geometry", "energy_ev_per_cell": -20.139, "total_magnetization_mub_per_cell": 0.00, "formation_energy_ev_per_atom": 0.34, "cell": [[-1.372, 2.338, 4.622], [1.372, -2.338, 4.622], [1.372, 2.338, -4.622]], "species": ["Be", "Os", "Au", "Au"], "frac_coords": [[0.000, 0.000, 0.000], [0.207, 0.707, 0.500], [0.492, 0.492, 0.000], [0.780, 0.280, 0.500]]}

{"formula": "Ho6HgBi2", "functional": "PBE", "state": "optimized geometry", "energy_ev_per_cell": -39.749, "total_magnetization_mub_per_cell": 2.89, "formation_energy_ev_per_atom": -0.47, "cell": [[8.476, 0.000, 0.000], [-4.238, 7.341, 0.000], [0.000, 0.000, 4.204]], "species": ["Ho", "Ho", "Ho", "Ho", "Ho", "Ho", "Hg", "Bi", "Bi"], "frac_coords": [[0.000, 0.399, 0.000], [0.000, 0.746, 0.500], [0.254, 0.254, 0.500], [0.399, 0.000, 0.000], [0.601, 0.601, 0.000], [0.746, 0.000, 0.500], [0.000, 0.000, 0.000], [0.333, 0.667, 0.500], [0.667, 0.333, 0.500]]}

{"formula": "OsRhW2", "functional": "PBE", "state": "optimized geometry", "energy_ev_per_cell": -44.156, "total_magnetization_mub_per_cell": 0.00, "formation_energy_ev_per_atom": 0.08, "cell": [[2.765, 0.000, 0.000], [0.000, 2.765, 0.000], [0.000, 0.000, 7.991]], "species": ["Os", "Rh", "W", "W"], "frac_coords": [[0.000, 0.000, 0.000], [0.500, 0.500, 0.247], [0.000, 0.000, 0.491], [0.500, 0.500, 0.761]]}

{"formula": "Er2As7Ru12", "functional": "PBE", "state": "optimized geometry", "energy_ev_per_cell": -161.711, "total_magnetization_mub_per_cell": 0.00, "formation_energy_ev_per_atom": -0.42, "cell": [[9.750, 0.000, 0.000], [-4.875, 8.444, 0.000], [0.000, 0.000, 4.013]], "species": ["Er", "Er", "As", "As", "As", "As", "As", "As", "As", "Ru", "Ru", "Ru", "Ru", "Ru", "Ru", "Ru", "Ru", "Ru", "Ru", "Ru", "Ru"], "frac_coords": [[0.000, 0.000, 0.000], [0.333, 0.667, 0.500], [0.087, 0.635, 0.000], [0.263, 0.047, 0.500], [0.365, 0.452, 0.000], [0.548, 0.913, 0.000], [0.667, 0.333, 0.000], [0.783, 0.737, 0.500], [0.953, 0.217, 0.500], [0.054, 0.773, 0.500], [0.094, 0.395, 0.000], [0.227, 0.281, 0.500], [0.301, 0.906, 0.000], [0.391, 0.218, 0.000], [0.549, 0.123, 0.500], [0.574, 0.451, 0.500], [0.605, 0.699, 0.000], [0.719, 0.946, 0.500], [0.782, 0.173, 0.000], [0.827, 0.609, 0.000], [0.877, 0.426, 0.500]]}

{"formula": "FeSn", "functional": "PBE", "state": "optimized geometry", "energy_ev_per_cell": -11.874, "total_magnetization_mub_per_cell": 1.77, "formation_energy_ev_per_atom": 0.30, "cell": [[3.267, 0.000, 0.000], [-1.633, 2.829, 0.000], [0.000, 0.000, 3.755]], "species": ["Fe", "Sn"], "frac_coords": [[0.000, 0.000, 0.000], [0.333, 0.667, 0.500]]}